No. 1
A plane-wave DFT calculation with GGA-PBE was carried out for Ti3HgH after structural relaxation.

The volume is 14.52 Å³/atom. The calculation puts the total energy at -5.624 eV/atom.

It has space group C2/m (No. 12), with a = 10.2741 Å, b = 5.9597 Å, c = 5.0735 Å, α = 90.00°, β = 110.77° and γ = 90.00°. The inequivalent atoms are Ti at (0.1139, 0.0000, 0.2595), Ti at (0.1247, 0.2420, 0.7755), Hg at (0.1246, 0.5000, 0.2816) and H at (0.2358, 0.0000, 0.0509).

***

No. 2
A plane-wave DFT calculation with GGA-PBE was carried out for Ti3HgH after structural relaxation.

The volume is 14.69 Å³/atom. The calculation puts the total energy at -5.622 eV/atom.

It has space group P2_1/m (No. 11), with a = 6.1963 Å, b = 3.6564 Å, c = 6.4866 Å, α = 90.00°, β = 91.71° and γ = 90.00°. The inequivalent atoms are Ti at (0.1134, 0.2500, 0.1185), Ti at (0.1308, 0.2500, 0.6359), Ti at (0.3576, 0.7500, 0.8918), Hg at (0.3744, 0.7500, 0.3611) and H at (0.1153, 0.7500, 0.6970).